(1)
## KMgIr2 (SCAN)

Data for KMgIr2 at its PBEsol-relaxed geometry.

Lattice parameters (Å, degrees): 3.9276 3.9276 4.5259 90.00 90.00 90.00
Closest atoms and distances in Å follow each position.
Space group P4/mmm (No. 123)
Symmetry-distinct sites (fractional):
K  0.0000  0.0000  0.0000 x1  4 Mg 2.78, 8 Ir 3.00
Mg  0.5000  0.5000  0.0000 x1  4 K 2.78, 8 Ir 3.00
Ir  0.0000  0.5000  0.5000 x2  4 Ir 2.78, 4 K 3.00, 4 Mg 3.00

Computed properties:
**Crystal system**: tetragonal
**Calculated density**: 10.7 g/cm³
**ΔH_f (0 K)**: 291.4 kJ/mol of formula units



(2)
## KMgIr2 (SCAN)

Data for KMgIr2 at its PBEsol-relaxed geometry.

Lattice parameters (Å, degrees): 5.4740 5.4740 2.5303 90.00 90.00 90.00
Closest atoms and distances in Å follow each position.
Space group P4/mmm (No. 123)
Symmetry-distinct sites (fractional):
K  0.0000  0.0000  0.0000 x1  2 K 2.53
Mg  0.5000  0.5000  0.0000 x1  2 Mg 2.53
Ir  0.0000  0.5000  0.5000 x2  2 Ir 2.53

Computed properties:
**Crystal system**: tetragonal
**Calculated density**: 9.8 g/cm³
**ΔH_f (0 K)**: 308.7 kJ/mol of formula units



(3)
## KMg2SiIr (SCAN)

Data for KMg2SiIr at its PBEsol-relaxed geometry.

Lattice parameters (Å, degrees): 5.2014 5.2014 4.6043 90.00 90.00 90.00
Closest atoms and distances in Å follow each position.
Space group P4/mmm (No. 123)
Symmetry-distinct sites (fractional):
K  0.0000  0.0000  0.0000 x1  2 Ir 2.30
Mg  0.0000  0.5000  0.0000 x2  2 K 2.60
Si  0.5000  0.5000  0.5000 x1  8 Mg 3.47, 4 Ir 3.68
Ir  0.0000  0.0000  0.5000 x1  2 K 2.30

Computed properties:
**Crystal system**: tetragonal
**Calculated density**: 4.1 g/cm³
**VASP energy**: -17.806 eV/atom



(4)
## KMnIr2 (SCAN)

Data for KMnIr2 at its PBEsol-relaxed geometry.

Lattice parameters (Å, degrees): 10.0940 2.7851 6.2625 90.00 110.74 90.00
Closest atoms and distances in Å follow each position.
Space group Cm (No. 8)
Symmetry-distinct sites (fractional):
K  0.0000  0.0000  0.0000 x2  2 K 2.79
Mn  0.1818  0.0000  0.6777 x2  4 Ir 2.42-2.44
Ir  0.2639  0.5000  0.4342 x2  2 Mn 2.42, 2 Ir 2.55
Ir  0.4810  0.0000  0.4595 x2  2 Mn 2.44, 2 Ir 2.55

Computed properties:
**Crystal system**: monoclinic
**Calculated density**: 9.7 g/cm³
**Energy relative to the lowest polymorph listed for this composition**: 0.0 kJ per mole of atoms
**ΔH_f (0 K)**: 119.8 kJ/mol of formula units



(5)
## KMnIr2 (SCAN)

Data for KMnIr2 at its PBEsol-relaxed geometry.

Lattice parameters (Å, degrees): 3.9219 3.9219 4.3227 90.00 90.00 90.00
Closest atoms and distances in Å follow each position.
Space group P4/mmm (No. 123)
Symmetry-distinct sites (fractional):
K  0.0000  0.0000  0.0000 x1  4 Mn 2.77, 8 Ir 2.92
Mn  0.5000  0.5000  0.0000 x1  4 K 2.77, 8 Ir 2.92
Ir  0.0000  0.5000  0.5000 x2  4 Ir 2.77, 4 Mn 2.92, 4 K 2.92

Computed properties:
**Crystal system**: tetragonal
**Calculated density**: 11.9 g/cm³
**Energy relative to the lowest polymorph listed for this composition**: 56.0 kJ per mole of atoms
**ΔH_f (0 K)**: 343.8 kJ/mol of formula units



(6)
## KMnIr2 (SCAN)

Data for KMnIr2 at its PBEsol-relaxed geometry.

Lattice parameters (Å, degrees): 2.7082 2.7082 29.9836 90.00 90.00 120.00
Closest atoms and distances in Å follow each position.
Space group R3m (No. 160, hexagonal axes)
Symmetry-distinct sites (fractional):
K  0.0000  0.0000  0.0000 x3  6 K 2.71
Mn  0.0000  0.0000  0.2347 x3  3 Ir 2.51, 6 Mn 2.71
Ir  0.0000  0.0000  0.5027 x3  3 Mn 2.51, 9 Ir 2.71-2.77
Ir  0.0000  0.0000  0.7598 x3  9 Ir 2.71-2.77

Computed properties:
**Crystal system**: trigonal
**Calculated density**: 12.5 g/cm³
**Energy relative to the lowest polymorph listed for this composition**: 19.9 kJ per mole of atoms
**ΔH_f (0 K)**: 199.5 kJ/mol of formula units



(7)
## KMnIr2 (SCAN)

Data for KMnIr2 at its PBEsol-relaxed geometry.

Lattice parameters (Å, degrees): 2.7370 3.7078 7.6322 90.00 90.10 90.00
Closest atoms and distances in Å follow each position.
Space group Pm (No. 6)
Symmetry-distinct sites (fractional):
K  0.0000  0.0000  0.0000 x1  2 K 2.74
Mn  0.5039  0.5000  0.6434 x1  5 Ir 2.49-2.58, 2 Mn 2.74
Ir  0.0033  0.0000  0.4911 x1  4 Mn 2.58, 6 Ir 2.66-2.74
Ir  0.5024  0.5000  0.3166 x1  1 Mn 2.49, 6 Ir 2.66-2.74

Computed properties:
**Crystal system**: monoclinic
**Calculated density**: 10.3 g/cm³
**Energy relative to the lowest polymorph listed for this composition**: 1.5 kJ per mole of atoms
**ΔH_f (0 K)**: 125.9 kJ/mol of formula units



(8)
## KMnIr2 (SCAN)

Data for KMnIr2 at its PBEsol-relaxed geometry.

Lattice parameters (Å, degrees): 2.6977 5.1647 10.4921 90.00 90.00 90.00
Closest atoms and distances in Å follow each position.
Space group Imm2 (No. 44)
Symmetry-distinct sites (fractional):
K  0.0000  0.0000  0.0000 x2  2 K 2.70, 4 Ir 2.91
Mn  0.0000  0.5000  0.7946 x2  2 Ir 2.58, 2 Mn 2.70
Ir  0.0000  0.0000  0.5037 x2  4 Ir 2.54-2.70, 2 Mn 2.58
Ir  0.0000  0.5000  0.2093 x2  4 Ir 2.54-2.70

Computed properties:
**Crystal system**: orthorhombic
**Calculated density**: 10.9 g/cm³
**Energy relative to the lowest polymorph listed for this composition**: 21.9 kJ per mole of atoms
**ΔH_f (0 K)**: 207.2 kJ/mol of formula units



(9)
## K3MnIr (SCAN)

Data for K3MnIr at its PBEsol-relaxed geometry.

Lattice parameters (Å, degrees): 5.9001 5.9001 5.9001 90.00 90.00 90.00
Closest atoms and distances in Å follow each position.
Space group Pm-3m (No. 221)
Symmetry-distinct sites (fractional):
K  0.0000  0.0000  0.5000 x3  2 Mn 2.95
Mn  0.0000  0.0000  0.0000 x1  6 K 2.95
Ir  0.5000  0.5000  0.5000 x1  12 K 4.17

Computed properties:
**Crystal system**: cubic
**Calculated density**: 2.9 g/cm³
**ΔH_f (0 K)**: 761.0 kJ/mol of formula units



(10)
## KMn3Ir (SCAN)

Data for KMn3Ir at its PBEsol-relaxed geometry.

Lattice parameters (Å, degrees): 4.9268 4.9268 4.9268 90.00 90.00 90.00
Closest atoms and distances in Å follow each position.
Space group Pm-3m (No. 221)
Symmetry-distinct sites (fractional):
K  0.0000  0.0000  0.0000 x1  12 Mn 3.48
Mn  0.0000  0.5000  0.5000 x3  2 Ir 2.46
Ir  0.5000  0.5000  0.5000 x1  6 Mn 2.46

Computed properties:
**Crystal system**: cubic
**Calculated density**: 5.5 g/cm³
**ΔH_f (0 K)**: 113.1 kJ/mol of formula units



(11)
## KMnIr2 (SCAN)

Data for KMnIr2 at its PBEsol-relaxed geometry.

Lattice parameters (Å, degrees): 2.7663 2.7663 9.4266 90.00 90.00 90.00
Closest atoms and distances in Å follow each position.
Space group P4mm (No. 99)
Symmetry-distinct sites (fractional):
K  0.0000  0.0000  0.0000 x1  4 K 2.77
Mn  0.5000  0.5000  0.3368 x1  4 Ir 2.66, 4 Mn 2.77
Ir  0.0000  0.0000  0.5278 x1  8 Ir 2.65-2.77, 4 Mn 2.66
Ir  0.5000  0.5000  0.7181 x1  8 Ir 2.65-2.77

Computed properties:
**Crystal system**: tetragonal
**Calculated density**: 11.0 g/cm³
**Energy relative to the lowest polymorph listed for this composition**: 2.4 kJ per mole of atoms
**ΔH_f (0 K)**: 129.2 kJ/mol of formula units



(12)
## K2MoIr (SCAN)

Data for K2MoIr at its PBEsol-relaxed geometry.

Lattice parameters (Å, degrees): 3.2939 4.1945 5.7776 90.00 90.00 90.00
Closest atoms and distances in Å follow each position.
Space group Pmmm (No. 47)
Symmetry-distinct sites (fractional):
K  0.0000  0.0000  0.0000 x1  4 K 2.67
K  0.5000  0.5000  0.0000 x1  4 K 2.67
Mo  0.0000  0.5000  0.5000 x1  4 Ir 2.67
Ir  0.5000  0.0000  0.5000 x1  4 Mo 2.67

Computed properties:
**Crystal system**: orthorhombic
**Calculated density**: 7.6 g/cm³
**Energy relative to the lowest polymorph listed for this composition**: 43.1 kJ per mole of atoms
**ΔH_f (0 K)**: 398.0 kJ/mol of formula units



(13)
## KMoIr2 (SCAN)

Data for KMoIr2 at its PBEsol-relaxed geometry.

Lattice parameters (Å, degrees): 5.1305 2.6751 5.3108 90.00 116.15 90.00
Closest atoms and distances in Å follow each position.
Space group P2/m (No. 10)
Symmetry-distinct sites (fractional):
K  0.0000  0.0000  0.0000 x1  2 K 2.68, 6 Ir 2.76-2.89, 4 Mo 2.97
Mo  0.0000  0.5000  0.5000 x1  2 Mo 2.68, 6 Ir 2.76-2.89, 4 K 2.97
Ir  0.5000  0.0000  0.5000 x1  6 Ir 2.68-2.97, 2 K 2.76, 4 Mo 2.89
Ir  0.5000  0.5000  0.0000 x1  6 Ir 2.68-2.97, 2 Mo 2.76, 4 K 2.89

Computed properties:
**Crystal system**: monoclinic
**Calculated density**: 13.2 g/cm³
**Energy relative to the lowest polymorph listed for this composition**: 20.0 kJ per mole of atoms
**ΔH_f (0 K)**: 448.3 kJ/mol of formula units



(14)
## KMo2Ir (SCAN)

Data for KMo2Ir at its PBEsol-relaxed geometry.

Lattice parameters (Å, degrees): 2.8509 4.8296 4.8400 90.00 90.00 90.00
Closest atoms and distances in Å follow each position.
Space group Pmmm (No. 47)
Symmetry-distinct sites (fractional):
K  0.0000  0.0000  0.0000 x1  4 Mo 2.80, 4 Ir 2.81, 2 K 2.85
Mo  0.0000  0.5000  0.5000 x1  4 Ir 2.80, 6 Mo 2.81-2.85
Mo  0.5000  0.5000  0.0000 x1  4 K 2.80, 6 Mo 2.81-2.85
Ir  0.5000  0.0000  0.5000 x1  4 Mo 2.80, 4 K 2.81, 2 Ir 2.85

Computed properties:
**Crystal system**: orthorhombic
**Calculated density**: 10.5 g/cm³
**Energy relative to the lowest polymorph listed for this composition**: 67.5 kJ per mole of atoms
**ΔH_f (0 K)**: 522.7 kJ/mol of formula units



(15)
## KMo2Ir (SCAN)

Data for KMo2Ir at its PBEsol-relaxed geometry.

Lattice parameters (Å, degrees): 2.9183 4.5514 10.7247 90.00 90.00 90.00
Closest atoms and distances in Å follow each position.
Space group Cmmm (No. 65)
Symmetry-distinct sites (fractional):
K  0.0000  0.0000  0.0000 x2  6 K 2.70-2.92
Mo  0.0000  0.5000  0.2902 x4  2 Ir 2.68, 6 Mo 2.70-2.92
Ir  0.0000  0.0000  0.5000 x2  4 Mo 2.68, 6 Ir 2.70-2.92

Computed properties:
**Crystal system**: orthorhombic
**Calculated density**: 9.9 g/cm³
**Energy relative to the lowest polymorph listed for this composition**: 19.0 kJ per mole of atoms
**ΔH_f (0 K)**: 328.6 kJ/mol of formula units